Entry from OQMD: a relaxed CuTcAgAs crystal (PBE).

Unit cell a=4.3973 b=4.3973 c=4.3973 alpha=60.00 beta=60.00 gamma=60.00
Sites, in units of the cell vectors:
1 Cu 0.0000 0.0000 0.0000
2 Tc 0.5000 0.5000 0.5000
3 Ag 0.2500 0.2500 0.2500
4 As 0.7500 0.7500 0.7500

Calculated values
- energy above the lowest structure with this stoichiometry (meV/atom) = 0


Entry from OQMD: a relaxed Tb2GdGa3AgPt2 crystal (PBE).

Unit cell a=3.8321 b=7.4663 c=7.4663 alpha=120.06 beta=90.00 gamma=90.00
Sites, in units of the cell vectors:
1 Tb 0.0000 0.2045 0.7955
2 Tb 0.0000 0.7955 0.2045
3 Gd 0.0000 0.6132 0.6132
4 Ga 0.5000 0.2040 0.4722
5 Ga 0.5000 0.4722 0.2040
6 Ga 0.5000 0.9367 0.9367
7 Ag 0.0000 0.2036 0.2036
8 Pt 0.5000 0.5373 0.8719
9 Pt 0.5000 0.8719 0.5373

Calculated values
- E (eV for the cell shown) = -45.890


Entry from OQMD: a relaxed GdBiN2O crystal (PBE).

Unit cell a=5.9064 b=8.5679 c=5.6568 alpha=90.00 beta=90.00 gamma=90.00
Sites, in units of the cell vectors:
1 Gd 0.0659 0.2500 0.0254
2 Gd 0.4341 0.7500 0.5254
3 Gd 0.5659 0.2500 0.4746
4 Gd 0.9341 0.7500 0.9746
5 Bi 0.0000 0.0000 0.5000
6 Bi 0.0000 0.5000 0.5000
7 Bi 0.5000 0.0000 0.0000
8 Bi 0.5000 0.5000 0.0000
9 N 0.1970 0.5746 0.8068
10 N 0.1970 0.9254 0.8068
11 N 0.3030 0.0746 0.3068
12 N 0.3030 0.4254 0.3068
13 N 0.6970 0.5746 0.6932
14 N 0.6970 0.9254 0.6932
15 N 0.8030 0.0746 0.1932
16 N 0.8030 0.4254 0.1932
17 O 0.0612 0.7500 0.3580
18 O 0.4388 0.2500 0.8580
19 O 0.5612 0.7500 0.1420
20 O 0.9388 0.2500 0.6420

Calculated values
- E (eV for the cell shown) = -133.609